<i>
Below is a relaxed structure of CoNiIr, with properties calculated at the PBE level.

total magnetic moment = 2.4 μB per formula unit
D(E_F) = 1.46 states/eV/atom

a b c (Å): 2.624 2.624 10.730
angles (deg): 90.00 90.00 90.00
Element x y z (fractional)
Co  0.000  0.000  0.000
Co  0.500  0.500  0.500
Ni  0.000  0.000  0.659
Ni  0.500  0.500  0.159
Ir  0.000  0.000  0.333
Ir  0.500  0.500  0.833

<ii>
Below is a relaxed structure of CoNiIr, with properties calculated at the PBE level.

total magnetic moment = 2.1 μB per formula unit
D(E_F) = 1.59 states/eV/atom

a b c (Å): 3.628 11.005 3.668
angles (deg): 90.00 90.00 90.00
Element x y z (fractional)
Co  0.000  0.082  0.250
Co  0.000  0.918  0.750
Co  0.500  0.418  0.750
Co  0.500  0.582  0.250
Ni  0.000  0.250  0.750
Ni  0.000  0.750  0.250
Ni  0.500  0.250  0.250
Ni  0.500  0.750  0.750
Ir  0.000  0.415  0.250
Ir  0.000  0.585  0.750
Ir  0.500  0.085  0.750
Ir  0.500  0.915  0.250

Name the most stable of them. <ii>.

<i>
Below is a relaxed structure of CoNiIr, with properties calculated at the PBE level.

total magnetic moment = 2.1 μB per formula unit
D(E_F) = 1.63 states/eV/atom

a b c (Å): 2.625 3.605 7.749
angles (deg): 90.00 90.00 90.00
Element x y z (fractional)
Co  0.000  0.000  0.000
Co  0.500  0.500  0.500
Ni  0.000  0.000  0.334
Ni  0.500  0.500  0.834
Ir  0.000  0.000  0.665
Ir  0.500  0.500  0.165

<ii>
Below is a relaxed structure of CoNiIr, with properties calculated at the PBE level.

total magnetic moment = 3.1 μB per formula unit
D(E_F) = 1.34 states/eV/atom

a b c (Å): 4.081 4.081 2.576
angles (deg): 90.00 90.00 120.00
Element x y z (fractional)
Co  0.000  0.000  0.000
Ni  0.333  0.667  0.000
Ir  0.667  0.333  0.500

<iii>
Below is a relaxed structure of CoNiIr, with properties calculated at the PBE level.

total magnetic moment = 2.7 μB per formula unit
D(E_F) = 1.58 states/eV/atom

a b c (Å): 2.636 2.636 6.231
angles (deg): 90.00 90.00 120.00
Element x y z (fractional)
Co  0.000  0.000  0.000
Ni  0.333  0.667  0.684
Ir  0.667  0.333  0.338

<iv>
Below is a relaxed structure of CoNiIr, with properties calculated at the PBE level.

total magnetic moment = 3.2 μB per formula unit
D(E_F) = 1.79 states/eV/atom

a b c (Å): 2.709 4.440 12.791
angles (deg): 90.00 90.00 90.00
Element x y z (fractional)
Co  0.000  0.000  0.000
Co  0.000  0.500  0.500
Co  0.500  0.000  0.500
Co  0.500  0.500  0.000
Ni  0.000  0.000  0.657
Ni  0.000  0.500  0.157
Ni  0.500  0.000  0.157
Ni  0.500  0.500  0.657
Ir  0.000  0.000  0.330
Ir  0.000  0.500  0.830
Ir  0.500  0.000  0.830
Ir  0.500  0.500  0.330

Name the most stable of them. <i>.

<i>
Below is a relaxed structure of CoNi6Ir, with properties calculated at the PBE level.

total magnetic moment = 6.1 μB per formula unit
D(E_F) = 1.31 states/eV/atom

a b c (Å): 4.552 4.552 4.552
angles (deg): 93.53 93.53 93.53
Element x y z (fractional)
Co  0.000  0.000  0.000
Ni  0.020  0.472  0.751
Ni  0.249  0.980  0.528
Ni  0.472  0.751  0.020
Ni  0.528  0.249  0.980
Ni  0.751  0.020  0.472
Ni  0.980  0.528  0.249
Ir  0.500  0.500  0.500

<ii>
Below is a relaxed structure of CoNi6Ir, with properties calculated at the PBE level.

total magnetic moment = 6.5 μB per formula unit
D(E_F) = 1.67 states/eV/atom

a b c (Å): 6.197 6.197 10.148
angles (deg): 90.00 90.00 109.73
Element x y z (fractional)
Co  0.000  0.000  0.247
Co  0.000  0.000  0.753
Co  0.251  0.749  0.000
Co  0.749  0.251  0.000
Ni  0.000  0.000  0.000
Ni  0.000  0.000  0.500
Ni  0.120  0.372  0.122
Ni  0.120  0.372  0.878
Ni  0.122  0.370  0.371
Ni  0.122  0.370  0.629
Ni  0.248  0.752  0.245
Ni  0.248  0.752  0.755
Ni  0.370  0.122  0.371
Ni  0.370  0.122  0.629
Ni  0.372  0.120  0.122
Ni  0.372  0.120  0.878
Ni  0.500  0.500  0.000
Ni  0.500  0.500  0.500
Ni  0.628  0.880  0.122
Ni  0.628  0.880  0.878
Ni  0.630  0.878  0.371
Ni  0.630  0.878  0.629
Ni  0.752  0.248  0.245
Ni  0.752  0.248  0.755
Ni  0.878  0.630  0.371
Ni  0.878  0.630  0.629
Ni  0.880  0.628  0.122
Ni  0.880  0.628  0.878
Ir  0.250  0.750  0.500
Ir  0.500  0.500  0.248
Ir  0.500  0.500  0.752
Ir  0.750  0.250  0.500

Name the most stable of them. <ii>.

<i>
Below is a relaxed structure of Co6Ni2Ir, with properties calculated at the PBE level.

total magnetic moment = 12.4 μB per formula unit
D(E_F) = 1.14 states/eV/atom

a b c (Å): 4.376 4.376 6.301
angles (deg): 106.19 106.19 69.12
Element x y z (fractional)
Co  0.169  0.712  0.801
Co  0.272  0.272  0.022
Co  0.288  0.831  0.199
Co  0.712  0.169  0.801
Co  0.728  0.728  0.978
Co  0.831  0.288  0.199
Ni  0.167  0.167  0.590
Ni  0.833  0.833  0.410
Ir  0.500  0.500  0.500

<ii>
Below is a relaxed structure of Co6Ni2Ir, with properties calculated at the PBE level.

total magnetic moment = 12.5 μB per formula unit
D(E_F) = 1.03 states/eV/atom

a b c (Å): 4.725 4.725 4.725
angles (deg): 94.89 94.89 94.89
Element x y z (fractional)
Co  0.000  0.332  0.668
Co  0.000  0.668  0.332
Co  0.332  0.000  0.668
Co  0.332  0.668  0.000
Co  0.668  0.000  0.332
Co  0.668  0.332  0.000
Ni  0.162  0.162  0.162
Ni  0.838  0.838  0.838
Ir  0.500  0.500  0.500

Name the most stable of them. <ii>.

<i>
Below is a relaxed structure of Co6Ni3Ir, with properties calculated at the PBE level.

total magnetic moment = 13.1 μB per formula unit
D(E_F) = 1.29 states/eV/atom

a b c (Å): 4.745 4.745 6.701
angles (deg): 111.04 111.04 58.72
Element x y z (fractional)
Co  0.056  0.567  0.194
Co  0.150  0.150  0.435
Co  0.433  0.944  0.806
Co  0.567  0.056  0.194
Co  0.850  0.850  0.565
Co  0.944  0.433  0.806
Ni  0.433  0.433  0.803
Ni  0.500  0.500  0.500
Ni  0.567  0.567  0.197
Ir  0.000  0.000  0.000

<ii>
Below is a relaxed structure of Co6Ni3Ir, with properties calculated at the PBE level.

total magnetic moment = 12.6 μB per formula unit
D(E_F) = 0.82 states/eV/atom

a b c (Å): 6.685 4.091 8.783
angles (deg): 90.00 109.22 90.00
Element x y z (fractional)
Co  0.004  0.250  0.416
Co  0.198  0.250  0.218
Co  0.203  0.750  0.384
Co  0.203  0.750  0.889
Co  0.404  0.250  0.021
Co  0.405  0.750  0.681
Co  0.595  0.250  0.319
Co  0.596  0.750  0.979
Co  0.797  0.250  0.111
Co  0.797  0.250  0.616
Co  0.802  0.750  0.782
Co  0.996  0.750  0.584
Ni  0.001  0.750  0.080
Ni  0.394  0.750  0.183
Ni  0.402  0.250  0.515
Ni  0.598  0.750  0.485
Ni  0.606  0.250  0.817
Ni  0.999  0.250  0.920
Ir  0.202  0.250  0.718
Ir  0.798  0.750  0.282

Name the most stable of them. <ii>.

<i>
Below is a relaxed structure of Co3Ni6Ir, with properties calculated at the PBE level.

total magnetic moment = 9.8 μB per formula unit
D(E_F) = 1.33 states/eV/atom

a b c (Å): 4.716 4.716 6.619
angles (deg): 110.09 110.09 60.11
Element x y z (fractional)
Co  0.000  0.000  0.000
Co  0.069  0.069  0.693
Co  0.931  0.931  0.307
Ni  0.069  0.561  0.697
Ni  0.356  0.356  0.071
Ni  0.439  0.931  0.303
Ni  0.561  0.069  0.697
Ni  0.644  0.644  0.929
Ni  0.931  0.439  0.303
Ir  0.500  0.500  0.500

<ii>
Below is a relaxed structure of Co3Ni6Ir, with properties calculated at the PBE level.

total magnetic moment = 9.6 μB per formula unit
D(E_F) = 1.37 states/eV/atom

a b c (Å): 8.865 10.362 2.556
angles (deg): 90.00 90.00 90.00
Element x y z (fractional)
Co  0.000  0.000  0.000
Co  0.127  0.291  0.500
Co  0.373  0.791  0.000
Co  0.500  0.500  0.500
Co  0.627  0.209  0.000
Co  0.873  0.709  0.500
Ni  0.085  0.771  0.000
Ni  0.218  0.934  0.500
Ni  0.239  0.624  0.500
Ni  0.261  0.124  0.000
Ni  0.282  0.434  0.000
Ni  0.415  0.271  0.500
Ni  0.585  0.729  0.500
Ni  0.718  0.566  0.000
Ni  0.739  0.876  0.000
Ni  0.761  0.376  0.500
Ni  0.782  0.066  0.500
Ni  0.915  0.229  0.000
Ir  0.000  0.500  0.000
Ir  0.500  0.000  0.500

Name the most stable of them. <i>.

<i>
Below is a relaxed structure of TiCoNiIr, with properties calculated at the PBE level.

total magnetic moment = 2.0 μB per formula unit
D(E_F) = 1.17 states/eV/atom

a b c (Å): 5.957 5.957 5.957
angles (deg): 90.00 90.00 90.00
Element x y z (fractional)
Ti  0.000  0.000  0.000
Ti  0.000  0.500  0.500
Ti  0.500  0.000  0.500
Ti  0.500  0.500  0.000
Co  0.000  0.000  0.500
Co  0.000  0.500  0.000
Co  0.500  0.000  0.000
Co  0.500  0.500  0.500
Ni  0.250  0.250  0.250
Ni  0.250  0.750  0.750
Ni  0.750  0.250  0.750
Ni  0.750  0.750  0.250
Ir  0.250  0.250  0.750
Ir  0.250  0.750  0.250
Ir  0.750  0.250  0.250
Ir  0.750  0.750  0.750

<ii>
Below is a relaxed structure of TiCoNiIr, with properties calculated at the PBE level.

total magnetic moment = 1.1 μB per formula unit
D(E_F) = 1.09 states/eV/atom

a b c (Å): 3.689 3.711 3.728
angles (deg): 90.00 90.00 90.00
Element x y z (fractional)
Ti  0.000  0.000  0.000
Co  0.500  0.000  0.500
Ni  0.000  0.500  0.500
Ir  0.500  0.500  0.000

Name the most stable of them. <ii>.

<i>
Below is a relaxed structure of UCoNiIr, with properties calculated at the PBE level.

total magnetic moment = 1.0 μB per formula unit
D(E_F) = 1.72 states/eV/atom

a b c (Å): 6.266 6.266 6.266
angles (deg): 90.00 90.00 90.00
Element x y z (fractional)
U  0.000  0.000  0.000
U  0.000  0.500  0.500
U  0.500  0.000  0.500
U  0.500  0.500  0.000
Co  0.250  0.250  0.250
Co  0.250  0.750  0.750
Co  0.750  0.250  0.750
Co  0.750  0.750  0.250
Ni  0.000  0.000  0.500
Ni  0.000  0.500  0.000
Ni  0.500  0.000  0.000
Ni  0.500  0.500  0.500
Ir  0.250  0.250  0.750
Ir  0.250  0.750  0.250
Ir  0.750  0.250  0.250
Ir  0.750  0.750  0.750

<ii>
Below is a relaxed structure of UCoNiIr, with properties calculated at the PBE level.

total magnetic moment = 0.0 μB per formula unit
D(E_F) = 0.37 states/eV/atom

a b c (Å): 3.818 3.830 4.007
angles (deg): 90.00 90.00 90.00
Element x y z (fractional)
U  0.000  0.000  0.000
Co  0.500  0.500  0.000
Ni  0.000  0.500  0.500
Ir  0.500  0.000  0.500

Name the most stable of them. <ii>.